[1]
A geometry-optimized Y2Zr4Sb3C3 structure. Source: the Open Quantum Materials Database, functional PBE.

## Properties
volume = 463 Å³/cell
space-group type = C2/c
total energy = -192.05 eV per cell
total magnetic moment = 0.021 μB/cell

a b c (Å): 6.0692 6.0692 14.9416
angles (deg): 101.82 101.82 60.06
Element x y z (fractional)
Y (0.0324, 0.8705, 0.5956)
Y (0.1295, 0.9676, 0.9044)
Y (0.8705, 0.0324, 0.0956)
Y (0.9676, 0.1295, 0.4044)
Zr (0.1951, 0.3563, 0.0825)
Zr (0.3007, 0.4769, 0.4175)
Zr (0.3563, 0.1951, 0.5825)
Zr (0.4769, 0.3007, 0.9175)
Zr (0.5231, 0.6993, 0.0825)
Zr (0.6437, 0.8049, 0.4175)
Zr (0.6993, 0.5231, 0.5825)
Zr (0.8049, 0.6437, 0.9175)
Sb (0.0848, 0.2853, 0.7511)
Sb (0.2853, 0.0848, 0.2511)
Sb (0.4516, 0.5484, 0.7500)
Sb (0.5484, 0.4516, 0.2500)
Sb (0.7147, 0.9152, 0.7489)
Sb (0.9152, 0.7147, 0.2489)
C (0.0000, 0.5000, 0.5000)
C (0.1741, 0.6515, 0.0000)
C (0.3485, 0.8259, 0.5000)
C (0.5000, 0.0000, 0.0000)
C (0.6515, 0.1741, 0.5000)
C (0.8259, 0.3485, 0.0000)


[2]
A geometry-optimized Zr3SbC2 structure. Source: the Open Quantum Materials Database, functional PBE.

## Properties
volume = 197 Å³/cell
space-group type = P6_3/mmc
total energy = -106.15 eV per cell
total magnetic moment = 0.005 μB/cell

a b c (Å): 3.4070 3.4070 19.6047
angles (deg): 90.00 90.00 120.00
Element x y z (fractional)
Zr (0.0000, 0.0000, 0.0000)
Zr (0.0000, 0.0000, 0.5000)
Zr (0.3333, 0.6667, 0.1312)
Zr (0.3333, 0.6667, 0.3688)
Zr (0.6667, 0.3333, 0.6312)
Zr (0.6667, 0.3333, 0.8688)
Sb (0.0000, 0.0000, 0.2500)
Sb (0.0000, 0.0000, 0.7500)
C (0.3333, 0.6667, 0.5712)
C (0.3333, 0.6667, 0.9288)
C (0.6667, 0.3333, 0.0712)
C (0.6667, 0.3333, 0.4288)


[3]
A geometry-optimized ScTaCSe2 structure. Source: the Open Quantum Materials Database, functional PBE.

## Properties
volume = 99 Å³/cell
space-group type = P3m1
total energy = -38.57 eV per cell
total magnetic moment = 0.003 μB/cell

a b c (Å): 3.3445 3.3445 10.1956
angles (deg): 90.00 90.00 120.00
Element x y z (fractional)
Sc (0.0000, 0.0000, 0.0000)
Ta (0.6667, 0.3333, 0.7557)
C (0.3333, 0.6667, 0.8658)
Se (0.0000, 0.0000, 0.5808)
Se (0.6667, 0.3333, 0.1846)


[4]
A geometry-optimized Tb3ScC2Se2 structure. Source: the Open Quantum Materials Database, functional PBE.

## Properties
volume = 157 Å³/cell
space-group type = P3m1
total energy = -54.59 eV per cell
total magnetic moment = 0.009 μB/cell

a b c (Å): 3.7166 3.7166 13.1098
angles (deg): 90.00 90.00 120.00
Element x y z (fractional)
Tb (0.0000, 0.0000, 0.0000)
Tb (0.0000, 0.0000, 0.3070)
Tb (0.3333, 0.6667, 0.5140)
Sc (0.3333, 0.6667, 0.8071)
C (0.6667, 0.3333, 0.4112)
C (0.6667, 0.3333, 0.8993)
Se (0.0000, 0.0000, 0.6697)
Se (0.3333, 0.6667, 0.1540)


[5]
A geometry-optimized TmSc4C2Se structure. Source: the Open Quantum Materials Database, functional PBE.

## Properties
volume = 150 Å³/cell
space-group type = P-6m2
total energy = -57.41 eV per cell
total magnetic moment = 0.458 μB/cell

a b c (Å): 3.4420 3.4420 14.6144
angles (deg): 90.00 90.00 120.00
Element x y z (fractional)
Tm (0.0000, 0.0000, 0.0000)
Sc (0.0000, 0.0000, 0.3710)
Sc (0.0000, 0.0000, 0.6290)
Sc (0.3333, 0.6667, 0.2055)
Sc (0.3333, 0.6667, 0.7945)
C (0.6667, 0.3333, 0.2849)
C (0.6667, 0.3333, 0.7151)
Se (0.3333, 0.6667, 0.5000)


[6]
A geometry-optimized TmScCSe structure. Source: the Open Quantum Materials Database, functional PBE.

## Properties
volume = 143 Å³/cell
energy relative to the lowest polymorph listed for this composition = 3 meV/atom
space-group type = P-3m1
total magnetic moment = 0.003 μB/cell

a b c (Å): 3.6070 3.6070 12.6940
angles (deg): 90.00 90.00 120.00
Element x y z (fractional)
Tm (0.3333, 0.6667, 0.3966)
Tm (0.6667, 0.3333, 0.6034)
Sc (0.3333, 0.6667, 0.0941)
Sc (0.6667, 0.3333, 0.9059)
C (0.0000, 0.0000, 0.0000)
C (0.0000, 0.0000, 0.5000)
Se (0.3333, 0.6667, 0.7608)
Se (0.6667, 0.3333, 0.2392)


[7]
A geometry-optimized TmScCSe structure. Source: the Open Quantum Materials Database, functional PBE.

## Properties
volume = 143 Å³/cell
energy relative to the lowest polymorph listed for this composition = 0 meV/atom
space-group type = P-6m2
total magnetic moment = 0.003 μB/cell

a b c (Å): 3.6071 3.6071 12.6923
angles (deg): 90.00 90.00 120.00
Element x y z (fractional)
Tm (0.0000, 0.0000, 0.1567)
Tm (0.0000, 0.0000, 0.8433)
Sc (0.3333, 0.6667, 0.3544)
Sc (0.3333, 0.6667, 0.6456)
C (0.6667, 0.3333, 0.2593)
C (0.6667, 0.3333, 0.7407)
Se (0.0000, 0.0000, 0.5000)
Se (0.3333, 0.6667, 0.0000)


[8]
A geometry-optimized TmSc3C2Se2 structure. Source: the Open Quantum Materials Database, functional PBE.

## Properties
volume = 137 Å³/cell
space-group type = P3m1
total energy = -58.20 eV per cell
total magnetic moment = 0.000 μB/cell

a b c (Å): 3.5573 3.5573 12.5160
angles (deg): 90.00 90.00 120.00
Element x y z (fractional)
Tm (0.0000, 0.0000, 0.0000)
Sc (0.0000, 0.0000, 0.3086)
Sc (0.3333, 0.6667, 0.5005)
Sc (0.3333, 0.6667, 0.7981)
C (0.6667, 0.3333, 0.4047)
C (0.6667, 0.3333, 0.8953)
Se (0.0000, 0.0000, 0.6493)
Se (0.3333, 0.6667, 0.1608)